DFT (PBE) results for ZrSc2Pb2 after structural relaxation.

Computed properties:
ΔE to the lowest computed polymorph: 0 meV/atom
Uncorrected energy: -59.9 eV per cell
Calculated density: 8.015 g/cm3
Size of the total moment: 0.00 Bohr magnetons per cell
Volume: 246.8 Å³/cell
D(E_F): 5.7 states/eV/f.u.
Calculated formation energy: -0.261 eV per atom

```
ZrSc2Pb2
1.0
7.8738 0.0000 0.0000
0.0000 7.8738 0.0000
0.0000 0.0000 3.9805
Zr Sc Pb
2 4 4
Direct
0.0000 0.0000 0.0000
0.5000 0.5000 0.0000
0.1626 0.3374 0.5000
0.3374 0.8374 0.5000
0.6626 0.1626 0.5000
0.8374 0.6626 0.5000
0.1430 0.6430 0.0000
0.3570 0.1430 0.0000
0.6430 0.8570 0.0000
0.8570 0.3570 0.0000
```

---

DFT (PBE) results for HoMgFe after structural relaxation.

Computed properties:
Uncorrected energy: -29.6 eV per cell
Calculated density: 6.356 g/cm3
Size of the total moment: 1.59 Bohr magnetons per cell
Volume: 128.1 Å³/cell
D(E_F): 2.7 states/eV/f.u.
Calculated formation energy: -0.049 eV per atom

```
HoMgFe
1.0
2.0069 -8.5716 0.0000
2.0069 8.5716 0.0000
0.0000 0.0000 3.7223
Ho Mg Fe
2 2 2
Direct
0.0886 0.9114 0.7500
0.9114 0.0886 0.2500
0.2981 0.7019 0.7500
0.7019 0.2981 0.2500
0.4657 0.5343 0.7500
0.5343 0.4657 0.2500
```

---

DFT (PBE) results for LaTl2SnTe4 after structural relaxation.

Computed properties:
Uncorrected energy: -31.6 eV per cell
Raw formation energy: -0.67 eV per atom
Calculated density: 6.735 g/cm3
Size of the total moment: 0.00 Bohr magnetons per cell
Volume: 290.1 Å³/cell
D(E_F): 5.6 states/eV/f.u.

```
LaTl2SnTe4
1.0
8.0781 0.0000 0.0000
0.0000 4.5410 0.0000
-2.7024 0.0000 7.9094
La Tl Sn Te
1 2 1 4
Direct
0.0000 0.0000 0.0000
0.0000 0.5000 0.5000
0.5000 0.0000 0.5000
0.5000 0.5000 0.0000
0.2483 0.5000 0.2240
0.2630 0.0000 0.7771
0.7370 0.0000 0.2229
0.7517 0.5000 0.7760
```

---

DFT (PBE) results for Mg2CoI after structural relaxation.

Computed properties:
ΔE to the lowest computed polymorph: 0 meV/atom
Uncorrected energy: -20.4 eV per cell
Raw formation energy: 0.41 eV per atom
Calculated density: 4.070 g/cm3
Size of the total moment: 3.49 Bohr magnetons per cell
Volume: 191.3 Å³/cell
D(E_F): 5.1 states/eV/f.u.

```
Mg2CoI
1.0
-3.8597 3.8597 3.2105
3.8597 -3.8597 3.2105
3.8597 3.8597 -3.2105
Mg Co I
4 2 2
Direct
0.0822 0.6250 0.9572
0.3750 0.3322 0.4572
0.6678 0.1250 0.0428
0.8750 0.9178 0.5428
0.0000 0.0000 0.0000
0.7500 0.2500 0.5000
0.2500 0.7500 0.5000
0.5000 0.5000 0.0000
```